SrMn3Co | PBE | optimized geometry

Values from the calculation:
The space group is Pm-3m. The size of the total moment is 12.6 μB per formula unit. For the energy relative to the lowest polymorph listed for this composition, the calculation gives 1.8383 eV/atom. As for the total energy: -4.848 eV per atom. The density of states at the Fermi level comes out at 1.0932 states/eV per atom. For the formation energy, the calculation gives 2.411 eV/atom.

Unit cell a=4.8127 b=4.8127 c=4.8127 alpha=90.00 beta=90.00 gamma=90.00
Positions (direct):
Sr  0.0000  0.0000  0.0000
Mn  0.0000  0.5000  0.0000
Mn  0.0000  0.0000  0.5000
Mn  0.5000  0.0000  0.0000
Co  0.5000  0.5000  0.5000


Zn2GaPbSe | PBE | optimized geometry

Values from the calculation:
The space group is P4/mmm. The size of the total moment is 0.0 μB per formula unit. Its formation energy (no corrections) is 139 meV per atom. As for the total energy: -2.415 eV per atom. The density of states at the Fermi level comes out at 0.1594 states/eV per atom.

Unit cell a=4.6939 b=5.7527 c=4.6939 alpha=90.00 beta=90.00 gamma=90.00
Positions (direct):
Pb  0.0000  0.5000  0.0000
Zn  0.0000  0.0000  0.5000
Zn  0.5000  0.0000  0.0000
Ga  0.0000  0.0000  0.0000
Se  0.5000  0.5000  0.5000